Density functional theory data (GGA-PBE) for a relaxed MnSb2Mo crystal.

abc: 3.391 3.391 6.559
angles: 90.00 90.00 90.00
Each line ends with the local moment (μB).
Positions (direct):
Mn (0.500, 0.500, 0.250)  3.42
Mo (0.500, 0.500, 0.750)  0.17
Sb (0.000, 0.000, 0.992)  -0.04
Sb (0.000, 0.000, 0.508)  -0.04

Values from the calculation:
Its calculated density is 8.684 Mg/m³. Its total energy is -6.803 eV/atom. The distance to the lowest polymorph of the same formula comes out at 148 meV per atom. The space group is No. 123. As for the formation energy without anion corrections: 0.258 eV per atom. As for the magnetization: 3.63 μB per formula unit.